# Si2H6I, optimized geometry, DFT GGA-PBE
# Raw total energy (eV/cell): -123.2
# DOS at the Fermi energy (states/eV per atom): 0.437
# M_tot (μB per cell): 0.0
data_Si2H6I
_symmetry_space_group_name_H-M 'C 1 2/c 1'
_symmetry_Int_Tables_number 15
_symmetry_space_group_name_Hall '-C 2yc'
_cell_length_a 10.6674
_cell_length_b 11.0230
_cell_length_c 4.9181
_cell_angle_alpha 90.00
_cell_angle_beta 117.39
_cell_angle_gamma 90.00
loop_
_atom_site_label
_atom_site_type_symbol
_atom_site_fract_x
_atom_site_fract_y
_atom_site_fract_z
Si1 Si 0.2393 0.0361 0.4867
H1 H 0.1071 0.4369 0.3600
H2 H 0.1381 0.1391 0.3856
H3 H 0.1749 0.0942 0.9236
I1 I 0.0000 0.2642 0.7500